(1)
VASP calculation (PBE-GGA) on a geometry-optimized AgHSe structure.

Values from the calculation:
Polymorph energy (0 for the lowest one) in kcal/mol of atoms: 0.30
DFT total energy in eV/atom: -3.26
Crystal system: triclinic

Structure (CIF):
```
data_AgHSe
_cell_length_a 4.590
_cell_length_b 4.597
_cell_length_c 6.480
_cell_angle_alpha 87.34
_cell_angle_beta 87.39
_cell_angle_gamma 60.27
_symmetry_space_group_name_H-M 'P -1'
_symmetry_Int_Tables_number 2
_symmetry_space_group_name_Hall '-P 1'
loop_
_atom_site_label
_atom_site_type_symbol
_atom_site_fract_x
_atom_site_fract_y
_atom_site_fract_z
_atom_site_occupancy
Ag1 Ag 0.012 0.014 0.232 1
H1 H 0.331 0.330 0.524 1
Se1 Se 0.323 0.322 0.755 1
```

***

(2)
VASP calculation (PBE-GGA) on a geometry-optimized AgH2Se2 structure.

Values from the calculation:
Polymorph energy (0 for the lowest one) in kcal/mol of atoms: 4.65
DFT total energy in eV/atom: -3.07
Crystal system: monoclinic

Structure (CIF):
```
data_AgH2Se2
_cell_length_a 3.917
_cell_length_b 3.179
_cell_length_c 7.307
_cell_angle_alpha 90.00
_cell_angle_beta 105.53
_cell_angle_gamma 90.00
_symmetry_space_group_name_H-M 'P 1 m 1'
_symmetry_Int_Tables_number 6
_symmetry_space_group_name_Hall 'P -2y'
loop_
_atom_site_label
_atom_site_type_symbol
_atom_site_fract_x
_atom_site_fract_y
_atom_site_fract_z
_atom_site_occupancy
Ag1 Ag 0.000 0.000 0.000 1
H1 H 0.326 0.500 0.643 1
H2 H 0.665 0.000 0.339 1
Se1 Se 0.371 0.000 0.738 1
Se2 Se 0.614 0.500 0.234 1
```